A relaxed TiBeHRu2 crystal. Source: Alexandria, functional PBE-GGA.

Cell: 4.1147 4.1147 3.1675 Å, 90.00 90.00 90.00°
With the nearest neighbours (Å) after each atom.
Element x y z (fractional)
Ru 0.0000 0.5000 0.0000  2 H 2.06
Ru 0.5000 0.0000 0.0000  2 H 2.06
H 0.0000 0.0000 0.0000  2 Be 1.58
Ti 0.5000 0.5000 0.5000  8 Ru 2.60
Be 0.0000 0.0000 0.5000  2 H 1.58

Summary:
Theoretical density in g/cm³: 8.1
Size of the total moment in μB per atom: 0.0000
Uncorrected energy in eV/atom: -7.025



A relaxed BeTlHRu2 crystal. Source: Alexandria, functional PBE-GGA.

Cell: 5.1612 4.4355 5.1612 Å, 90.00 90.00 90.00°
With the nearest neighbours (Å) after each atom.
Element x y z (fractional)
H 0.5000 0.5000 0.5000  8 Ru 3.40, 4 Be 3.65
Ru 0.5000 0.0000 0.0000  2 Tl 2.58
Ru 0.0000 0.0000 0.5000  2 Tl 2.58
Tl 0.0000 0.0000 0.0000  2 Be 2.22
Be 0.0000 0.5000 0.0000  2 Tl 2.22

Summary:
Theoretical density in g/cm³: 5.9
Size of the total moment in μB per atom: 0.7057
Uncorrected energy in eV/atom: -3.129



A relaxed BeV2HRu crystal. Source: Alexandria, functional PBE-GGA.

Cell: 3.7043 3.7043 3.7368 Å, 90.00 90.00 90.00°
With the nearest neighbours (Å) after each atom.
Element x y z (fractional)
V 0.0000 0.5000 0.0000  2 H 1.85
V 0.5000 0.0000 0.0000  2 H 1.85
H 0.0000 0.0000 0.0000  4 V 1.85, 2 Be 1.87
Ru 0.5000 0.5000 0.5000  4 Be 2.62, 8 V 2.63
Be 0.0000 0.0000 0.5000  2 H 1.87

Summary:
Theoretical density in g/cm³: 6.9
Size of the total moment in μB per atom: 0.0000
Uncorrected energy in eV/atom: -7.023



A relaxed BeH2RuW crystal. Source: Alexandria, functional PBE-GGA.

Cell: 3.4562 4.9520 3.4562 Å, 90.00 90.00 90.00°
With the nearest neighbours (Å) after each atom.
Element x y z (fractional)
W 0.0000 0.5000 0.0000  4 Ru 2.44, 2 Be 2.48
Be 0.0000 0.0000 0.0000  4 H 1.73
H 0.5000 0.0000 0.0000  2 Be 1.73
H 0.0000 0.0000 0.5000  2 Be 1.73
Ru 0.5000 0.5000 0.5000  4 W 2.44

Summary:
Theoretical density in g/cm³: 8.3
Size of the total moment in μB per atom: 0.0000
Uncorrected energy in eV/atom: -5.355



A relaxed BeHS3 crystal. Source: Alexandria, functional PBE-GGA.

Cell: 3.9742 3.9742 3.9742 Å, 90.00 90.00 90.00°
With the nearest neighbours (Å) after each atom.
Element x y z (fractional)
S 0.0000 0.5000 0.0000  2 H 1.99
S 0.5000 0.0000 0.0000  2 H 1.99
S 0.0000 0.0000 0.5000  2 H 1.99
Be 0.5000 0.5000 0.5000  12 S 2.81
H 0.0000 0.0000 0.0000  6 S 1.99

Summary:
Theoretical density in g/cm³: 2.8
Size of the total moment in μB per atom: 0.0000
Excess energy over the best structure of this formula in the dataset in eV/atom: 0.2083
Uncorrected energy in eV/atom: -2.761



A relaxed Be2HS crystal. Source: Alexandria, functional PBE-GGA.

Cell: 3.5232 5.2472 5.3898 Å, 95.76 107.71 106.31°
With the nearest neighbours (Å) after each atom.
Element x y z (fractional)
Be 0.0930 0.9105 0.2598  2 H 1.44-1.47
Be 0.3840 0.7024 0.8971  2 H 1.46-1.59
Be 0.1497 0.2458 0.6869  3 S 2.12-2.25, 2 Be 2.23-2.34
Be 0.5031 0.4139 0.1207  1 H 1.52
S 0.5031 0.9781 0.6486  4 Be 2.08-2.25
S 0.0356 0.3032 0.2896  4 Be 2.09-2.12
H 0.1236 0.8178 0.0076  2 Be 1.44-1.46
H 0.6628 0.7215 0.1976  3 Be 1.47-1.59

Summary:
Theoretical density in g/cm³: 1.9
Size of the total moment in μB per atom: 0.0000
Excess energy over the best structure of this formula in the dataset in eV/atom: 0.0845
Uncorrected energy in eV/atom: -4.014



A relaxed Be2HS crystal. Source: Alexandria, functional PBE-GGA.

Cell: 4.1924 5.4041 5.4533 Å, 60.65 68.34 67.51°
With the nearest neighbours (Å) after each atom.
Element x y z (fractional)
S 0.6095 0.5939 0.0065  4 Be 2.08-2.15
S 0.9580 0.2047 0.6701  3 Be 2.03-2.04
H 0.4012 0.0887 0.1615  2 Be 1.44-1.45
H 0.9230 0.9099 0.3434  3 Be 1.51-1.68
Be 0.5115 0.5306 0.6841  2 S 2.03-2.15, 2 Be 2.20-2.21
Be 0.7413 0.1463 0.0903  2 H 1.45-1.56
Be 0.9723 0.8245 0.6702  1 H 1.68
Be 0.3233 0.8093 0.2809  2 H 1.44-1.51

Summary:
Theoretical density in g/cm³: 1.8
Size of the total moment in μB per atom: 0.0000
Excess energy over the best structure of this formula in the dataset in eV/atom: 0.1059
Uncorrected energy in eV/atom: -3.993



A relaxed Be2HS crystal. Source: Alexandria, functional PBE-GGA.

Cell: 3.4921 5.3556 5.4268 Å, 76.21 71.50 71.08°
With the nearest neighbours (Å) after each atom.
Element x y z (fractional)
Be 0.1222 0.5024 0.9688  1 H 1.44
Be 0.6112 0.3481 0.2452  1 H 1.44
Be 0.9282 0.5748 0.3873  1 H 1.48
Be 0.0201 0.9826 0.6922  1 H 1.45
H 0.3553 0.5583 0.3962  2 Be 1.44-1.48
H 0.0069 0.7899 0.9299  2 Be 1.44-1.45
S 0.6381 0.9713 0.4680  4 Be 2.08-2.12
S 0.7702 0.3658 0.8047  5 Be 2.10-2.26

Summary:
Theoretical density in g/cm³: 1.9
Size of the total moment in μB per atom: 0.0000
Excess energy over the best structure of this formula in the dataset in eV/atom: 0.0000
Uncorrected energy in eV/atom: -4.099